Cd2SiRu: relaxed, GGA-PBE.

Total magnetic moment ... 0.0 μB per formula unit
Raw formation energy ... 0.3935 eV per atom
SG ... F-43m
V ... 68.4 Å³/f.u.
VASP energy ... -3.74 eV/atom

Structure (POSCAR):
```
Cd2SiRu
1.0
6.4903 0.0000 0.0000
0.0000 6.4903 0.0000
0.0000 0.0000 6.4903
Cd Si Ru
8 4 4
Direct
0.0000 0.0000 0.0000
0.0000 0.5000 0.5000
0.2500 0.2500 0.2500
0.2500 0.7500 0.7500
0.5000 0.0000 0.5000
0.5000 0.5000 0.0000
0.7500 0.2500 0.7500
0.7500 0.7500 0.2500
0.0000 0.0000 0.5000
0.0000 0.5000 0.0000
0.5000 0.0000 0.0000
0.5000 0.5000 0.5000
0.2500 0.2500 0.7500
0.2500 0.7500 0.2500
0.7500 0.2500 0.2500
0.7500 0.7500 0.7500
```